Record 1
Material: NaFe2AuO
Method: DFT, PBE with a Hubbard U
State: optimized geometry

Output
- Total magnetic moment: 8.0 μB per formula unit
- Total DFT energy (no corrections): -16.59 eV/cell
- DOS at the Fermi energy: 2.12 states/eV/f.u.
- Crystal system: tetragonal
- Calculated volume: 94 Å³/cell

The structure in CIF format:
```
data_NaFe2AuO
_chemical_formula_sum 'Na1 Fe2 Au1 O1'
_space_group_name_H-M_alt 'P 4/m m m'
_space_group_IT_number 123
_space_group_name_Hall '-P 4 2'
_cell_length_a 4.959
_cell_length_b 4.959
_cell_length_c 3.818
_cell_angle_alpha 90.00
_cell_angle_beta 90.00
_cell_angle_gamma 90.00
loop_
_atom_site_label
_atom_site_fract_x
_atom_site_fract_y
_atom_site_fract_z
_atom_site_occupancy
Na1 0.000 0.000 0.000 1
Fe1 0.000 0.500 0.000 1
Au1 0.500 0.500 0.500 1
O1 0.000 0.000 0.500 1
```


Record 2
Material: Na2FeAuO4
Method: DFT, PBE with a Hubbard U
State: optimized geometry

Output
- Total magnetic moment: 6.8 μB per formula unit
- Total DFT energy (no corrections): -75.08 eV/cell
- DOS at the Fermi energy: 4.19 states/eV/f.u.
- Crystal system: tetragonal
- Calculated volume: 216 Å³/cell

The structure in CIF format:
```
data_Na2FeAuO4
_chemical_formula_sum 'Na4 Fe2 Au2 O8'
_space_group_name_H-M_alt 'I -4 2 m'
_space_group_IT_number 121
_space_group_name_Hall 'I -4 2'
_cell_length_a 6.096
_cell_length_b 6.096
_cell_length_c 5.824
_cell_angle_alpha 90.00
_cell_angle_beta 90.00
_cell_angle_gamma 90.00
loop_
_atom_site_label
_atom_site_fract_x
_atom_site_fract_y
_atom_site_fract_z
_atom_site_occupancy
Na1 0.000 0.500 0.000 1
Fe1 0.000 0.000 0.000 1
Au1 0.000 0.000 0.500 1
O1 0.167 0.167 0.218 1
```